# 1
The following is a GGA-PBE calculation of a relaxed LiCeTlSe3 crystal, from Alexandria.

Summary:
Formation energy (no corrections) ... -1226 meV per atom
Final energy ... -4.67 eV per atom
Total magnetic moment ... 0.000 μB/atom

Unit cell a=4.2961 b=9.0217 c=9.3249 alpha=103.92 beta=90.00 gamma=90.00
Closest atoms and distances in Å follow each position.
Fractional positions:
Li1 0.2500 0.0798 0.5918  4 Se 2.55-2.57
Li2 0.7500 0.9202 0.4082  4 Se 2.55-2.57
Ce1 0.2500 0.6750 0.1611  6 Se 2.79-2.93
Ce2 0.7500 0.3250 0.8389  6 Se 2.79-2.93
Tl1 0.7500 0.8058 0.7535  7 Se 3.38-3.57, 1 Li 3.61
Tl2 0.2500 0.1942 0.2465  7 Se 3.38-3.57, 1 Li 3.61
Se1 0.2500 0.7931 0.4660  3 Li 2.55-2.57, 1 Ce 2.79
Se2 0.7500 0.8727 0.1260  1 Li 2.56, 2 Ce 2.86
Se3 0.7500 0.4554 0.1590  3 Ce 2.92-2.93
Se4 0.7500 0.2069 0.5340  3 Li 2.55-2.57, 1 Ce 2.79
Se5 0.2500 0.5446 0.8410  3 Ce 2.92-2.93
Se6 0.2500 0.1273 0.8740  1 Li 2.56, 2 Ce 2.86

# 2
The following is a GGA-PBE calculation of a relaxed LiCe3Tl4Se8 crystal, from Alexandria.

Summary:
Formation energy (no corrections) ... -1192 meV per atom
Final energy ... -4.76 eV per atom
Total magnetic moment ... 0.069 μB/atom

Unit cell a=8.5172 b=9.1029 c=8.5173 alpha=117.89 beta=120.00 gamma=90.00
Closest atoms and distances in Å follow each position.
Fractional positions:
Li1 0.0000 0.5000 0.0000  6 Se 2.95
Ce1 0.5000 0.5000 0.0000  6 Se 2.89-2.94
Ce2 0.5000 0.5000 0.5000  6 Se 2.89-2.94
Ce3 0.0000 0.5000 0.5000  6 Se 2.89-2.94
Tl1 0.5000 0.0000 0.0000  6 Se 3.32
Tl2 0.5000 0.0000 0.5000  6 Se 3.31-3.37
Tl3 0.0000 0.0000 0.0000  6 Se 3.31-3.37
Tl4 0.0000 0.0000 0.5000  6 Se 3.31-3.37
Se1 0.2373 0.7027 0.9654  2 Ce 2.89, 1 Li 2.95
Se2 0.2373 0.7026 0.4745  2 Ce 2.89, 1 Li 2.95
Se3 0.2633 0.2899 0.5266  3 Ce 2.94
Se4 0.7281 0.7027 0.9654  2 Ce 2.89, 1 Li 2.95
Se5 0.2719 0.2973 0.0346  2 Ce 2.89, 1 Li 2.95
Se6 0.7367 0.7101 0.4734  3 Ce 2.94
Se7 0.7627 0.2974 0.5255  2 Ce 2.89, 1 Li 2.95
Se8 0.7627 0.2973 0.0346  2 Ce 2.89, 1 Li 2.95

# 3
The following is a GGA-PBE calculation of a relaxed Li2CeTl2Se4 crystal, from Alexandria.

Summary:
Formation energy (no corrections) ... -1102 meV per atom
Final energy ... -4.26 eV per atom
Total magnetic moment ... 0.000 μB/atom

Unit cell a=4.3105 b=7.7055 c=8.0410 alpha=110.07 beta=105.55 gamma=90.00
Closest atoms and distances in Å follow each position.
Fractional positions:
Li1 0.6826 0.9905 0.3651  4 Se 2.56-2.61
Li2 0.3174 0.0095 0.6349  4 Se 2.56-2.61
Ce1 0.0000 0.0000 0.0000  6 Se 2.88-2.89
Tl1 0.1401 0.5653 0.2802  7 Se 3.36-3.59, 1 Li 3.54
Tl2 0.8599 0.4347 0.7198  7 Se 3.36-3.59, 1 Li 3.54
Se1 0.1985 0.1797 0.3971  3 Li 2.56-2.61
Se2 0.8015 0.8203 0.6029  3 Li 2.56-2.61
Se3 0.5149 0.7643 0.0299  1 Li 2.56
Se4 0.4851 0.2357 0.9701  1 Li 2.56

Repeat the second record exactly.
The following is a GGA-PBE calculation of a relaxed LiCe3Tl4Se8 crystal, from Alexandria.

Summary:
Formation energy (no corrections) ... -1192 meV per atom
Final energy ... -4.76 eV per atom
Total magnetic moment ... 0.069 μB/atom

Unit cell a=8.5172 b=9.1029 c=8.5173 alpha=117.89 beta=120.00 gamma=90.00
Closest atoms and distances in Å follow each position.
Fractional positions:
Li1 0.0000 0.5000 0.0000  6 Se 2.95
Ce1 0.5000 0.5000 0.0000  6 Se 2.89-2.94
Ce2 0.5000 0.5000 0.5000  6 Se 2.89-2.94
Ce3 0.0000 0.5000 0.5000  6 Se 2.89-2.94
Tl1 0.5000 0.0000 0.0000  6 Se 3.32
Tl2 0.5000 0.0000 0.5000  6 Se 3.31-3.37
Tl3 0.0000 0.0000 0.0000  6 Se 3.31-3.37
Tl4 0.0000 0.0000 0.5000  6 Se 3.31-3.37
Se1 0.2373 0.7027 0.9654  2 Ce 2.89, 1 Li 2.95
Se2 0.2373 0.7026 0.4745  2 Ce 2.89, 1 Li 2.95
Se3 0.2633 0.2899 0.5266  3 Ce 2.94
Se4 0.7281 0.7027 0.9654  2 Ce 2.89, 1 Li 2.95
Se5 0.2719 0.2973 0.0346  2 Ce 2.89, 1 Li 2.95
Se6 0.7367 0.7101 0.4734  3 Ce 2.94
Se7 0.7627 0.2974 0.5255  2 Ce 2.89, 1 Li 2.95
Se8 0.7627 0.2973 0.0346  2 Ce 2.89, 1 Li 2.95

> Among the records above, which one has the lowest formation energy (no corrections)?

LiCeTlSe3